1.
The following is a DFT calculation (PBE-GGA) of a relaxed Rb2MoAsCl crystal.

Cell and atoms, written as POSCAR:
```
Rb2MoAsCl
1.0
6.894 0.000 0.000
0.000 4.820 0.000
0.000 0.000 6.894
As Rb Mo Cl
1 2 1 1
direct
0.000 0.500 0.000
0.000 0.000 0.500
0.500 0.000 0.000
0.000 0.000 0.000
0.500 0.500 0.500
```

Uncorrected formation energy, eV/atom: -0.031
DFT total energy, eV/cell: -19.4
M_tot, μB per formula unit: 3.8
Symmetry: P4/mmm, No. 123
Fermi-level density of states, states/eV/atom: 0.299



2.
The following is a DFT calculation (PBE-GGA) of a relaxed MoAsS2Cl crystal.

Cell and atoms, written as POSCAR:
```
MoAsS2Cl
1.0
-2.747 2.445 -3.193
-3.599 -3.221 0.630
-1.736 2.625 3.504
S As Mo Cl
2 1 1 1
direct
0.500 0.000 0.000
0.000 0.500 0.000
0.000 0.000 0.000
0.500 0.500 0.500
0.000 0.000 0.500
```

Uncorrected formation energy, eV/atom: 0.780
DFT total energy, eV/cell: -21.7
M_tot, μB per formula unit: 4.1
E above lowest polymorph, meV per atom: 487.5
Symmetry: P4/mmm, No. 123
Fermi-level density of states, states/eV/atom: 0.443



3.
The following is a DFT calculation (PBE-GGA) of a relaxed MoAsSCl2 crystal.

Cell and atoms, written as POSCAR:
```
MoAsSCl2
1.0
4.912 0.000 0.000
0.000 4.912 0.000
0.000 0.000 5.030
As S Cl Mo
1 1 2 1
direct
0.000 0.000 0.000
0.000 0.000 0.500
0.000 0.500 0.000
0.500 0.000 0.000
0.500 0.500 0.500
```

Uncorrected formation energy, eV/atom: 0.654
DFT total energy, eV/cell: -20.0
M_tot, μB per formula unit: 4.8
E above lowest polymorph, meV per atom: 411.7
Symmetry: P4/mmm, No. 123
Fermi-level density of states, states/eV/atom: 0.472